VASP calculation (GGA-PBE) on TaRuRh6 after structural relaxation.

## Properties
Formation energy   4.399 eV/f.u.
Crystal system   trigonal
Space-group type   R-3m (166)

Lattice parameters (Å, degrees): 5.1661 5.1661 5.1661 86.62 86.62 86.62
Last column: magnetic moment on the atom in μB.
Sites, in units of the cell vectors:
Rh1 0.4543 0.8358 0.8358  0.24
Rh2 0.8358 0.8358 0.4543  0.24
Rh3 0.1642 0.5457 0.1642  0.24
Rh4 0.1642 0.1642 0.5457  0.24
Rh5 0.8358 0.4543 0.8358  0.24
Rh6 0.5457 0.1642 0.1642  0.24
Ru1 0.0000 0.0000 0.0000  1.15
Ta1 0.5000 0.5000 0.5000  -0.06

VASP calculation (GGA-PBE) on Cs6SeSI2 after structural relaxation.

## Properties
Crystal system   monoclinic
Space-group type   C2/m (12)
Calculated total energy   -2.781 eV per atom

Lattice parameters (Å, degrees): 9.4836 9.4274 9.3821 120.16 119.73 90.00
Sites, in units of the cell vectors:
Se1 0.5000 0.0000 0.0000
Cs1 0.1769 0.6789 0.8635
Cs2 0.8231 0.3211 0.1365
Cs3 0.8231 0.8154 0.1365
Cs4 0.3606 0.7444 0.4887
Cs5 0.6394 0.2556 0.5113
Cs6 0.1769 0.1846 0.8635
S1 0.0000 0.5000 0.0000
I1 0.7773 0.7522 0.5044
I2 0.2227 0.2478 0.4956

VASP calculation (GGA-PBE) on NpPaAlPt after structural relaxation.

## Properties
Formation energy   -0.998 eV/f.u.
Crystal system   cubic
Space-group type   F-43m (216)

Lattice parameters (Å, degrees): 4.8577 4.8577 4.8577 60.00 60.00 60.00
Last column: magnetic moment on the atom in μB.
Sites, in units of the cell vectors:
Np1 0.5000 0.5000 0.5000  4.57
Pt1 0.0000 0.0000 0.0000  0.07
Al1 0.7500 0.7500 0.7500  0.03
Pa1 0.2500 0.2500 0.2500  1.61

VASP calculation (GGA-PBE) on Be3Al after structural relaxation.

## Properties
Formation energy   1.206 eV/f.u.
Crystal system   orthorhombic
Space-group type   Imm2 (44)

Lattice parameters (Å, degrees): 4.6451 4.6451 4.6451 147.86 127.05 63.30
Sites, in units of the cell vectors:
Be1 0.5014 0.5000 0.0014
Be2 0.8975 0.2396 0.6578
Be3 0.4182 0.7604 0.6578
Al1 0.0163 0.0000 0.0163

VASP calculation (GGA-PBE) on Sm7ErCd2 after structural relaxation.

## Properties
Formation energy   3.909 eV/f.u.
Crystal system   orthorhombic
Space-group type   Cmmm (65)

Lattice parameters (Å, degrees): 5.2868 9.2389 9.2389 121.67 90.00 90.00
Sites, in units of the cell vectors:
Sm1 0.5000 0.7013 0.9328
Sm2 0.0000 0.2205 0.7795
Sm3 0.5000 0.9328 0.7013
Sm4 0.5000 0.5000 0.5000
Sm5 0.5000 0.0672 0.2987
Sm6 0.0000 0.7795 0.2205
Sm7 0.5000 0.2987 0.0672
Cd1 0.5000 0.6965 0.3035
Cd2 0.5000 0.3035 0.6965
Er1 0.0000 0.0000 0.0000

VASP calculation (GGA-PBE) on CsRbCuCl3 after structural relaxation.

## Properties
Crystal system   monoclinic
Space-group type   C2/m (12)
Calculated total energy   -3.309 eV per atom

Lattice parameters (Å, degrees): 5.6848 8.7172 9.3653 105.40 90.00 109.03
Sites, in units of the cell vectors:
Rb1 0.3578 0.7155 0.4293
Rb2 0.6422 0.2845 0.5707
Cl1 0.4987 0.9974 0.7387
Cl2 0.1436 0.2872 0.3291
Cl3 0.5013 0.0026 0.2613
Cl4 0.8564 0.7128 0.6709
Cl5 0.8639 0.7278 0.1914
Cl6 0.1361 0.2722 0.8086
Cu1 0.9962 0.9925 0.7393
Cu2 0.0038 0.0075 0.2607
Cs1 0.3562 0.7123 0.9289
Cs2 0.6438 0.2877 0.0711

VASP calculation (GGA-PBE) on HfTaZnRe after structural relaxation.

## Properties
Formation energy   -0.675 eV/f.u.
Crystal system   cubic
Space-group type   F-43m (216)

Lattice parameters (Å, degrees): 4.5944 4.5944 4.5944 60.00 60.00 60.00
Sites, in units of the cell vectors:
Ta1 0.0000 0.0000 0.0000
Zn1 0.2500 0.2500 0.2500
Hf1 0.5000 0.5000 0.5000
Re1 0.7500 0.7500 0.7500

VASP calculation (GGA-PBE) on LaDy2SnN4 after structural relaxation.

## Properties
Crystal system   orthorhombic
Space-group type   Cmcm (63)
Calculated total energy   -7.350 eV per atom

Lattice parameters (Å, degrees): 3.6037 6.2095 12.0673 90.00 90.00 106.87
Sites, in units of the cell vectors:
N1 0.0000 0.0000 0.0000
N2 0.2674 0.5349 0.1194
N3 0.7326 0.4651 0.6194
N4 0.4417 0.8834 0.7500
N5 0.7326 0.4651 0.8806
N6 0.5583 0.1166 0.2500
N7 0.0000 0.0000 0.5000
N8 0.2674 0.5349 0.3806
La1 0.8910 0.7820 0.2500
La2 0.1090 0.2180 0.7500
Sn1 0.1528 0.3057 0.2500
Sn2 0.8472 0.6943 0.7500
Dy1 0.3711 0.7421 0.9633
Dy2 0.6289 0.2579 0.0367
Dy3 0.6289 0.2579 0.4633
Dy4 0.3711 0.7421 0.5367

VASP calculation (GGA-PBE) on DyYHg2 after structural relaxation.

## Properties
Formation energy   -1.363 eV/f.u.
Crystal system   trigonal
Space-group type   R3m (160)

Lattice parameters (Å, degrees): 3.7574 3.7574 9.3999 78.47 78.47 60.00
Sites, in units of the cell vectors:
Hg1 0.2506 0.2506 0.2483
Hg2 0.0828 0.0828 0.7516
Dy1 0.6665 0.6665 0.0006
Y1 0.5002 0.5002 0.4995

VASP calculation (GGA-PBE) on CePrRuI after structural relaxation.

## Properties
Crystal system   monoclinic
Space-group type   Cm (8)
Calculated total energy   -6.074 eV per atom

Lattice parameters (Å, degrees): 4.1033 4.1004 8.5722 90.01 105.08 119.97
Last column: magnetic moment on the atom in μB.
Sites, in units of the cell vectors:
Ru1 0.3513 0.5738 0.8946  -0.05
Pr1 0.5133 0.1548 0.6705  0.00
Ce1 0.0557 0.9255 0.0438  0.31
I1 0.9576 0.3767 0.3608  0.00

VASP calculation (GGA-PBE) on Ho2Th2Ni15 after structural relaxation.

## Properties
Formation energy   -5.417 eV/f.u.
Crystal system   trigonal
Space-group type   R-3m (166)

Lattice parameters (Å, degrees): 6.5190 6.5190 6.5190 81.77 81.77 81.77
Sites, in units of the cell vectors:
Th1 0.6426 0.6426 0.6426
Th2 0.3574 0.3574 0.3574
Ni1 0.6520 0.6520 0.1661
Ni2 0.3119 0.6881 0.0000
Ni3 0.6881 0.0000 0.3119
Ni4 0.0000 0.5000 0.0000
Ni5 0.3119 0.0000 0.6881
Ni6 0.1661 0.6520 0.6520
Ni7 0.8339 0.3480 0.3480
Ni8 0.6520 0.1661 0.6520
Ni9 0.0000 0.3119 0.6881
Ni10 0.0000 0.0000 0.5000
Ni11 0.5000 0.0000 0.0000
Ni12 0.6881 0.3119 0.0000
Ni13 0.0000 0.6881 0.3119
Ni14 0.3480 0.8339 0.3480
Ni15 0.3480 0.3480 0.8339
Ho1 0.1083 0.1083 0.1083
Ho2 0.8917 0.8917 0.8917

VASP calculation (GGA-PBE) on BaNb3Mo after structural relaxation.

## Properties
Formation energy   14.576 eV/f.u.
Crystal system   cubic
Space-group type   Pm-3m (221)

Lattice parameters (Å, degrees): 4.9774 4.9774 4.9774 90.00 90.00 90.00
Sites, in units of the cell vectors:
Nb1 0.5000 0.0000 0.0000
Nb2 0.0000 0.0000 0.5000
Nb3 0.0000 0.5000 0.0000
Ba1 0.0000 0.0000 0.0000
Mo1 0.5000 0.5000 0.5000